one) HfSn3As (GGA-PBE, relaxed); mass density = 6923 kg/m3; D(E_F) = 5.9 states/eV/f.u.
1.0
5.268 0.000 0.000
0.000 5.268 0.000
0.000 0.000 5.268
Sn As Hf
3 1 1
Direct
0.000 0.500 0.000
0.000 0.000 0.500
0.500 0.000 0.000
0.000 0.000 0.000
0.500 0.500 0.500

two) HfSn3As (GGA-PBE, relaxed); mass density = 6005 kg/m3; D(E_F) = 4.3 states/eV/f.u.
1.0
5.524 0.000 0.000
0.000 5.524 0.000
0.000 0.000 5.524
As Sn Hf
1 3 1
Direct
0.500 0.500 0.500
0.000 0.000 0.500
0.500 0.000 0.000
0.000 0.500 0.000
0.000 0.000 0.000

Which one sits at the top of the stability order? two) does.

one) Hf3SnAs (GGA-PBE, relaxed); mass density = 10062 kg/m3; D(E_F) = 4.2 states/eV/f.u.
1.0
-2.957 0.576 -3.438
0.632 -7.780 1.191
-5.329 -0.400 4.517
Hf As Sn
6 2 2
Direct
0.181 0.362 0.557
0.819 0.638 0.443
0.977 0.955 0.730
0.265 0.531 0.147
0.023 0.045 0.270
0.735 0.469 0.853
0.123 0.246 0.927
0.877 0.754 0.073
0.634 0.267 0.323
0.366 0.733 0.677

two) Hf3SnAs (GGA-PBE, relaxed); mass density = 9978 kg/m3; D(E_F) = 6.8 states/eV/f.u.
1.0
-2.245 -3.709 -2.390
4.231 -2.571 0.016
-1.253 -2.035 4.336
Hf Sn As
3 1 1
Direct
0.000 0.500 0.000
0.000 0.000 0.500
0.500 0.000 0.000
0.500 0.500 0.500
0.000 0.000 0.000

Which one sits at the top of the stability order? one) does.

one) SrHf2As2 (GGA-PBE, relaxed); mass density = 7783 kg/m3; D(E_F) = 4.1 states/eV/f.u.
1.0
-4.733 0.730 1.737
0.612 -3.844 3.285
-0.351 1.572 5.854
Hf As Sr
2 2 1
Direct
0.656 0.656 0.688
0.344 0.344 0.312
0.250 0.750 0.500
0.750 0.250 0.500
0.000 0.000 0.000

two) SrHf2As2 (GGA-PBE, relaxed); mass density = 9057 kg/m3; D(E_F) = 2.0 states/eV/f.u.
1.0
-3.610 -5.716 -3.896
5.871 -0.208 -5.135
1.678 -2.435 2.018
Hf As Sr
4 4 2
Direct
0.858 0.358 0.500
0.358 0.142 0.500
0.142 0.642 0.500
0.642 0.858 0.500
0.360 0.860 0.000
0.140 0.360 0.000
0.640 0.140 0.000
0.860 0.640 0.000
0.000 0.000 0.000
0.500 0.500 0.000

three) SrHf2As2 (GGA-PBE, relaxed); mass density = 8141 kg/m3; D(E_F) = 3.5 states/eV/f.u.
1.0
-1.365 -0.962 -3.941
2.423 -3.528 0.022
-4.502 -5.684 0.623
Hf As Sr
2 2 1
Direct
0.250 0.750 0.500
0.750 0.250 0.500
0.379 0.379 0.242
0.621 0.621 0.758
0.000 0.000 0.000

Which one sits at the top of the stability order? three) does.

one) Sr3HfAs (GGA-PBE, relaxed); mass density = 4064 kg/m3; D(E_F) = 10.3 states/eV/f.u.
1.0
5.953 0.000 0.000
0.000 5.953 0.000
0.000 0.000 5.953
As Sr Hf
1 3 1
Direct
0.000 0.000 0.000
0.000 0.500 0.000
0.500 0.000 0.000
0.000 0.000 0.500
0.500 0.500 0.500

two) Sr3HfAs (GGA-PBE, relaxed); mass density = 4063 kg/m3; D(E_F) = 6.4 states/eV/f.u.
1.0
5.953 0.000 0.000
0.000 5.953 0.000
0.000 0.000 5.953
Sr As Hf
3 1 1
Direct
0.000 0.500 0.000
0.500 0.000 0.000
0.000 0.000 0.500
0.500 0.500 0.500
0.000 0.000 0.000

Which one sits at the top of the stability order? one) does.

one) SrHfAs3 (GGA-PBE, relaxed); mass density = 5438 kg/m3; D(E_F) = 4.9 states/eV/f.u.
1.0
-2.477 2.573 3.932
-4.685 -1.009 -2.292
-0.363 -4.536 2.740
As Hf Sr
3 1 1
Direct
0.000 0.000 0.500
0.500 0.000 0.000
0.000 0.500 0.000
0.500 0.500 0.500
0.000 0.000 0.000

two) SrHfAs3 (GGA-PBE, relaxed); mass density = 5855 kg/m3; D(E_F) = 2.7 states/eV/f.u.
1.0
-3.606 -1.703 3.311
2.253 -4.667 0.054
2.963 1.477 3.987
As Hf Sr
3 1 1
Direct
0.500 0.000 0.000
0.000 0.500 0.000
0.000 0.000 0.500
0.000 0.000 0.000
0.500 0.500 0.500

Which one sits at the top of the stability order? two) does.

one) HfTaAs3 (GGA-PBE, relaxed); mass density = 7729 kg/m3; D(E_F) = 5.0 states/eV/f.u.
1.0
5.007 0.000 0.000
0.000 5.007 0.000
0.000 0.000 5.007
Hf As Ta
1 3 1
Direct
0.000 0.000 0.000
0.000 0.000 0.500
0.000 0.500 0.000
0.500 0.000 0.000
0.500 0.500 0.500

two) HfTaAs3 (GGA-PBE, relaxed); mass density = 8090 kg/m3; D(E_F) = 2.9 states/eV/f.u.
1.0
4.931 0.000 0.000
0.000 4.931 0.000
0.000 0.000 4.931
Ta As Hf
1 3 1
Direct
0.000 0.000 0.000
0.000 0.000 0.500
0.000 0.500 0.000
0.500 0.000 0.000
0.500 0.500 0.500

Which one sits at the top of the stability order? two) does.

one) Hf2TaAs2 (GGA-PBE, relaxed); mass density = 11755 kg/m3; D(E_F) = 2.5 states/eV/f.u.
1.0
-2.868 0.671 -4.496
3.159 -5.833 -2.885
-3.766 -0.307 5.568
As Hf Ta
4 4 2
Direct
0.592 0.296 0.183
0.092 0.888 0.183
0.408 0.704 0.817
0.908 0.112 0.817
0.676 0.036 0.352
0.824 0.683 0.648
0.176 0.317 0.352
0.324 0.964 0.648
0.750 0.500 0.000
0.250 0.500 0.000

two) Hf2TaAs2 (GGA-PBE, relaxed); mass density = 12580 kg/m3; D(E_F) = 3.8 states/eV/f.u.
1.0
-3.640 -2.099 5.692
-2.793 -5.312 -3.745
2.762 -2.140 0.977
As Ta Hf
4 2 4
Direct
0.646 0.146 0.000
0.354 0.854 0.000
0.854 0.646 0.000
0.146 0.354 0.000
0.500 0.500 0.000
0.000 0.000 0.000
0.343 0.157 0.500
0.157 0.657 0.500
0.657 0.843 0.500
0.843 0.343 0.500

Which one sits at the top of the stability order? two) does.

one) HfTa3As (GGA-PBE, relaxed); mass density = 11084 kg/m3; D(E_F) = 3.9 states/eV/f.u.
1.0
-4.245 -0.168 2.487
-2.233 -1.927 -3.941
1.108 -4.527 1.585
Ta Hf As
3 1 1
Direct
0.500 0.000 0.000
0.000 0.000 0.500
0.000 0.500 0.000
0.000 0.000 0.000
0.500 0.500 0.500

two) HfTa3As (GGA-PBE, relaxed); mass density = 12397 kg/m3; D(E_F) = 4.4 states/eV/f.u.
1.0
4.742 0.000 0.000
0.000 4.742 0.000
0.000 0.000 4.742
As Ta Hf
1 3 1
Direct
0.000 0.000 0.000
0.000 0.000 0.500
0.000 0.500 0.000
0.500 0.000 0.000
0.500 0.500 0.500

Which one sits at the top of the stability order? two) does.

one) TbHfAs2 (GGA-PBE, relaxed); mass density = 8988 kg/m3; D(E_F) = 2.7 states/eV/f.u.
1.0
3.901 0.000 0.000
1.950 3.378 0.000
1.950 1.126 6.832
Hf As Tb
1 2 1
Direct
0.670 0.670 0.989
0.076 0.076 0.773
0.257 0.257 0.228
0.496 0.496 0.511

two) TbHfAs2 (GGA-PBE, relaxed); mass density = 9130 kg/m3; D(E_F) = 1.7 states/eV/f.u.
1.0
-2.521 3.047 0.067
-3.661 -0.493 1.414
0.036 2.454 6.480
Tb As Hf
1 2 1
Direct
0.500 0.500 0.500
0.744 0.744 0.768
0.256 0.256 0.232
0.000 0.000 0.000

Which one sits at the top of the stability order? two) does.

one) HfTc2As2 (GGA-PBE, relaxed); mass density = 9776 kg/m3; D(E_F) = 1.8 states/eV/f.u.
1.0
-0.849 -1.622 -4.112
3.328 -2.990 0.493
-1.603 -5.185 -0.087
Hf As Tc
1 2 2
Direct
0.000 0.000 0.000
0.750 0.250 0.500
0.250 0.750 0.500
0.630 0.630 0.739
0.370 0.370 0.261

two) HfTc2As2 (GGA-PBE, relaxed); mass density = 10834 kg/m3; D(E_F) = 4.3 states/eV/f.u.
1.0
7.296 0.000 0.000
0.000 7.296 0.000
0.000 0.000 3.020
Tc As Hf
4 4 2
Direct
0.642 0.858 0.500
0.858 0.358 0.500
0.358 0.142 0.500
0.142 0.642 0.500
0.153 0.347 0.000
0.847 0.653 0.000
0.347 0.847 0.000
0.653 0.153 0.000
0.000 0.000 0.000
0.500 0.500 0.000

Which one sits at the top of the stability order? two) does.

one) HfTcAs3 (GGA-PBE, relaxed); mass density = 6291 kg/m3; D(E_F) = 5.3 states/eV/f.u.
1.0
-2.720 -3.687 2.230
2.204 -3.457 -3.026
3.703 -0.651 3.440
Tc Hf As
1 1 3
Direct
0.500 0.500 0.500
0.000 0.000 0.000
0.000 0.000 0.500
0.500 0.000 0.000
0.000 0.500 0.000

two) HfTcAs3 (GGA-PBE, relaxed); mass density = 7577 kg/m3; D(E_F) = 8.4 states/eV/f.u.
1.0
-3.692 -1.044 2.866
-2.855 -0.401 -3.824
1.074 -4.657 -0.313
As Hf Tc
3 1 1
Direct
0.500 0.000 0.000
0.000 0.000 0.500
0.000 0.500 0.000
0.500 0.500 0.500
0.000 0.000 0.000

Which one sits at the top of the stability order? two) does.

one) HfTeAs3 (GGA-PBE, relaxed); mass density = 6482 kg/m3; D(E_F) = 2.9 states/eV/f.u.
1.0
-1.075 -4.257 -2.678
4.433 0.491 -2.560
2.375 -2.843 3.567
Te As Hf
1 3 1
Direct
0.000 0.000 0.000
0.000 0.500 0.000
0.500 0.000 0.000
0.000 0.000 0.500
0.500 0.500 0.500

two) HfTeAs3 (GGA-PBE, relaxed); mass density = 6414 kg/m3; D(E_F) = 4.8 states/eV/f.u.
1.0
-3.510 2.991 -2.317
-3.176 -0.612 4.021
2.056 4.160 2.257
As Te Hf
3 1 1
Direct
0.000 0.500 0.000
0.000 0.000 0.500
0.500 0.000 0.000
0.500 0.500 0.500
0.000 0.000 0.000

Which one sits at the top of the stability order? two) does.